A relaxed CrCoN2 crystal. Source: Alexandria via LeMat-Bulk, functional PBE.

Structure (extended XYZ):
```
4
Lattice="2.507 -1.548 0.000 2.507 1.548 0.000 -0.623 0.000 5.058" Properties=species:S:1:pos:R:3 pbc="T T T"
Cr 0.000 0.000 0.000
Co 3.298 0.000 2.672
N -0.017 0.000 3.330
N 3.181 0.000 0.721
```

Total moment = 0.001 μB/atom
Raw formation energy = -0.096 eV/atom
VASP energy = -8.441 eV per atom

A relaxed SnS3N crystal. Source: Alexandria via LeMat-Bulk, functional PBE.

Structure (extended XYZ):
```
5
Lattice="5.031 0.000 0.000 0.000 5.031 0.000 0.000 0.000 5.031" Properties=species:S:1:pos:R:3 pbc="T T T"
Sn 0.000 0.000 0.000
S 0.000 0.000 2.515
S 0.000 2.515 0.000
S 2.515 0.000 0.000
N 2.515 2.515 2.515
```

Total moment = 0.388 μB/atom
Raw formation energy = 1.535 eV/atom
VASP energy = -3.407 eV per atom

A relaxed MnSb2TeBr crystal. Source: Alexandria via LeMat-Bulk, functional PBE.

Structure (extended XYZ):
```
5
Lattice="5.134 0.000 0.000 0.000 5.134 0.000 0.000 0.000 5.096" Properties=species:S:1:pos:R:3 pbc="T T T"
Mn 0.000 0.000 0.000
Sb 0.000 2.567 0.000
Sb 2.567 0.000 0.000
Te 0.000 0.000 2.548
Br 2.567 2.567 2.548
```

Total moment = 0.553 μB/atom
Raw formation energy = 0.228 eV/atom
VASP energy = -4.218 eV per atom

A relaxed SmMg11Cd crystal. Source: Alexandria via LeMat-Bulk, functional PBE.

Structure (extended XYZ):
```
13
Lattice="2.973 -7.194 0.000 2.973 7.194 0.000 -2.900 0.000 7.175" Properties=species:S:1:pos:R:3 pbc="T T T"
Sm 0.000 0.000 0.000
Mg -1.450 0.000 3.588
Mg 1.487 3.597 0.000
Mg 0.026 2.507 2.525
Mg 0.066 1.516 5.644
Mg 0.026 -2.507 2.525
Mg 1.487 -3.597 0.000
Mg 0.066 -1.516 5.644
Mg 2.981 1.516 1.531
Mg 3.021 2.507 4.650
Mg 2.981 -1.516 1.531
Mg 3.021 -2.507 4.650
Cd 1.523 0.000 3.588
```

Total moment = 0.000 μB/atom
Formation energy = -0.0658 eV/atom
VASP energy = -1.848 eV per atom

Question: Which of these has the highest VASP energy?
Answer: SmMg11Cd